(1)
Density functional theory data (PBE-GGA) for an optimized crystal structure of SnPt2.

Cell lengths 5.4159, 5.4159, 5.4159 Å; angles 60.00, 60.00, 60.00 degrees
Fractional coordinates of all 6 atoms:
Pt (0.6250, 0.6250, 0.1250)
Pt (0.1250, 0.6250, 0.6250)
Pt (0.6250, 0.1250, 0.6250)
Pt (0.6250, 0.6250, 0.6250)
Sn (0.2500, 0.2500, 0.2500)
Sn (0.0000, 0.0000, 0.0000)

Results
Density of states at the Fermi level (states/eV per atom): 0.158
DFT formation energy (eV/atom): -0.219
Raw total energy (eV per atom): -5.581



(2)
Density functional theory data (PBE-GGA) for an optimized crystal structure of Sn3Pt2.

Cell lengths 4.4145, 4.4145, 13.1752 Å; angles 90.00, 90.00, 120.00 degrees
Fractional coordinates of all 10 atoms:
Pt (0.6667, 0.3333, 0.8568)
Pt (0.6667, 0.3333, 0.6432)
Pt (0.3333, 0.6667, 0.1432)
Pt (0.3333, 0.6667, 0.3568)
Sn (0.6667, 0.3333, 0.4288)
Sn (0.0000, 0.0000, 0.2500)
Sn (0.3333, 0.6667, 0.5712)
Sn (0.6667, 0.3333, 0.0712)
Sn (0.3333, 0.6667, 0.9288)
Sn (0.0000, 0.0000, 0.7500)

Results
Density of states at the Fermi level (states/eV per atom): 0.514
DFT formation energy (eV/atom): -0.513
Raw total energy (eV per atom): -5.331



(3)
Density functional theory data (PBE-GGA) for an optimized crystal structure of Sn4Pt.

Cell lengths 6.6961, 6.6961, 6.4740 Å; angles 90.00, 90.00, 121.99 degrees
Fractional coordinates of all 10 atoms:
Sn (0.7953, 0.5427, 0.8322)
Sn (0.2047, 0.4573, 0.8322)
Sn (0.7047, 0.9573, 0.6678)
Sn (0.5427, 0.7953, 0.1678)
Sn (0.2953, 0.0427, 0.6678)
Sn (0.4573, 0.2047, 0.1678)
Sn (0.9573, 0.7047, 0.3322)
Sn (0.0427, 0.2953, 0.3322)
Pt (0.0000, 0.0000, 0.0000)
Pt (0.5000, 0.5000, 0.5000)

Results
Density of states at the Fermi level (states/eV per atom): 0.329
DFT formation energy (eV/atom): -0.286
Raw total energy (eV per atom): -4.697



(4)
Density functional theory data (PBE-GGA) for an optimized crystal structure of SnPt.

Cell lengths 8.0519, 8.0519, 8.0519 Å; angles 90.00, 90.00, 90.00 degrees
Fractional coordinates of all 16 atoms:
Sn (0.8074, 0.1926, 0.8074)
Sn (0.8074, 0.8074, 0.1926)
Sn (0.3074, 0.6926, 0.3074)
Sn (0.6926, 0.6926, 0.6926)
Sn (0.1926, 0.8074, 0.8074)
Sn (0.6926, 0.3074, 0.3074)
Sn (0.1926, 0.1926, 0.1926)
Sn (0.3074, 0.3074, 0.6926)
Pt (0.3733, 0.6267, 0.6267)
Pt (0.1267, 0.1267, 0.8733)
Pt (0.8733, 0.1267, 0.1267)
Pt (0.1267, 0.8733, 0.1267)
Pt (0.6267, 0.6267, 0.3733)
Pt (0.3733, 0.3733, 0.3733)
Pt (0.6267, 0.3733, 0.6267)
Pt (0.8733, 0.8733, 0.8733)

Results
Density of states at the Fermi level (states/eV per atom): 0.792
DFT formation energy (eV/atom): -0.150
Raw total energy (eV per atom): -5.172



(5)
Density functional theory data (PBE-GGA) for an optimized crystal structure of SnPt.

Cell lengths 6.0398, 6.0398, 6.0398 Å; angles 90.00, 90.00, 90.00 degrees
Fractional coordinates of all 8 atoms:
Pt (0.0000, 0.0000, 0.0000)
Pt (0.5000, 0.5000, 0.0000)
Pt (0.0000, 0.5000, 0.5000)
Pt (0.5000, 0.0000, 0.5000)
Sn (0.7500, 0.2500, 0.7500)
Sn (0.2500, 0.7500, 0.7500)
Sn (0.2500, 0.2500, 0.2500)
Sn (0.7500, 0.7500, 0.2500)

Results
Density of states at the Fermi level (states/eV per atom): 0.450
DFT formation energy (eV/atom): -0.159
Raw total energy (eV per atom): -5.181



(6)
Density functional theory data (PBE-GGA) for an optimized crystal structure of Sn3Pt7.

Cell lengths 3.9859, 5.6391, 8.0728 Å; angles 99.66, 104.29, 90.00 degrees
Fractional coordinates of all 10 atoms:
Pt (0.4045, 0.1986, 0.8090)
Pt (0.2077, 0.1449, 0.4153)
Pt (0.7923, 0.8551, 0.5847)
Pt (0.5963, 0.2974, 0.1927)
Pt (0.0000, 0.5000, 0.0000)
Pt (0.4037, 0.7026, 0.8073)
Pt (0.5955, 0.8014, 0.1910)
Sn (0.8118, 0.3722, 0.6237)
Sn (0.1882, 0.6278, 0.3763)
Sn (0.0000, 0.0000, 0.0000)

Results
Density of states at the Fermi level (states/eV per atom): 0.320
DFT formation energy (eV/atom): -0.366
Raw total energy (eV per atom): -5.796



(7)
Density functional theory data (PBE-GGA) for an optimized crystal structure of Sr2Sn8Pt.

Cell lengths 4.8396, 4.8396, 12.8553 Å; angles 90.00, 90.00, 90.00 degrees
Fractional coordinates of all 11 atoms:
Sn (0.0000, 0.5000, 0.8791)
Sn (0.5000, 0.0000, 0.8791)
Sn (0.5000, 0.0000, 0.5000)
Sn (0.5000, 0.0000, 0.1209)
Sn (0.0000, 0.5000, 0.1209)
Sn (0.5000, 0.5000, 0.6874)
Sn (0.0000, 0.5000, 0.5000)
Sn (0.5000, 0.5000, 0.3126)
Sr (0.0000, 0.0000, 0.3092)
Sr (0.0000, 0.0000, 0.6908)
Pt (0.0000, 0.0000, 0.0000)

Results
Density of states at the Fermi level (states/eV per atom): 0.522
DFT formation energy (eV/atom): -0.372
Raw total energy (eV per atom): -4.138



(8)
Density functional theory data (PBE-GGA) for an optimized crystal structure of SrSn4Pt2.

Cell lengths 4.6225, 7.4785, 19.0060 Å; angles 90.00, 90.00, 90.00 degrees
Fractional coordinates of all 28 atoms:
Sn (0.7500, 0.8643, 0.4668)
Sn (0.2500, 0.0174, 0.9334)
Sn (0.7500, 0.7672, 0.8061)
Sn (0.2500, 0.2328, 0.1939)
Sn (0.7500, 0.3174, 0.3184)
Sn (0.2500, 0.3643, 0.0332)
Sn (0.7500, 0.7328, 0.3061)
Sn (0.7500, 0.5174, 0.5666)
Sn (0.2500, 0.1357, 0.5332)
Sn (0.2500, 0.2672, 0.6939)
Sn (0.2500, 0.6826, 0.6816)
Sn (0.7500, 0.6357, 0.9668)
Sn (0.2500, 0.8174, 0.1816)
Sn (0.2500, 0.4826, 0.4334)
Sn (0.7500, 0.1826, 0.8184)
Sn (0.7500, 0.9826, 0.0666)
Pt (0.2500, 0.5315, 0.2869)
Pt (0.2500, 0.7437, 0.0344)
Pt (0.7500, 0.2437, 0.4656)
Pt (0.7500, 0.4685, 0.7131)
Pt (0.2500, 0.9685, 0.7869)
Pt (0.7500, 0.0315, 0.2131)
Pt (0.2500, 0.7563, 0.5344)
Pt (0.7500, 0.2563, 0.9656)
Sr (0.7500, 0.9840, 0.6431)
Sr (0.2500, 0.0160, 0.3569)
Sr (0.7500, 0.5160, 0.1431)
Sr (0.2500, 0.4840, 0.8569)

Results
Density of states at the Fermi level (states/eV per atom): 0.397
DFT formation energy (eV/atom): -0.618
Raw total energy (eV per atom): -4.872